No. 1
## CuSeBr2 (GGA-PBE)

Data for a relaxed CuSeBr2 crystal.

Symmetry: No. 119
Calculated density: 4.356 g/cm³
Density of states at the Fermi level: 1.90 states/eV/f.u.
Crystal system: tetragonal
Offset from the most stable computed form: 0.3795 eV per atom

a = 3.782 Å, b = 3.782 Å, c = 16.110 Å
α = 90.00°, β = 90.00°, γ = 90.00°
Fractional positions:
1 Cu 0.000 0.000 0.000
2 Cu 0.500 0.500 0.500
3 Se 0.000 0.500 0.750
4 Se 0.500 0.000 0.250
5 Br 0.000 0.000 0.500
6 Br 0.000 0.500 0.250
7 Br 0.500 0.000 0.750
8 Br 0.500 0.500 0.000


No. 2
## Nd2CoNi (GGA-PBE)

Data for a relaxed Nd2CoNi crystal.

ΔH_f (0 K): -0.082 eV/atom
Symmetry: No. 225
Calculated density: 8.081 g/cm³
Density of states at the Fermi level: 2.92 states/eV/f.u.
Crystal system: cubic
Offset from the most stable computed form: 0.0984 eV per atom

a = 6.937 Å, b = 6.937 Å, c = 6.937 Å
α = 90.00°, β = 90.00°, γ = 90.00°
Fractional positions:
1 Nd 0.250 0.250 0.250
2 Nd 0.250 0.250 0.750
3 Nd 0.250 0.750 0.250
4 Nd 0.250 0.750 0.750
5 Nd 0.750 0.250 0.250
6 Nd 0.750 0.250 0.750
7 Nd 0.750 0.750 0.250
8 Nd 0.750 0.750 0.750
9 Co 0.000 0.000 0.000
10 Co 0.000 0.500 0.500
11 Co 0.500 0.000 0.500
12 Co 0.500 0.500 0.000
13 Ni 0.000 0.000 0.500
14 Ni 0.000 0.500 0.000
15 Ni 0.500 0.000 0.000
16 Ni 0.500 0.500 0.500


No. 3
## V2Ga2Tc3 (GGA-PBE)

Data for a relaxed V2Ga2Tc3 crystal.

ΔH_f (0 K): 0.105 eV/atom
Symmetry: No. 199
Calculated density: 8.399 g/cm³
Density of states at the Fermi level: 6.52 states/eV/f.u.
Crystal system: cubic

a = 6.503 Å, b = 6.503 Å, c = 6.503 Å
α = 109.47°, β = 109.47°, γ = 109.47°
Fractional positions:
1 V 0.000 0.595 0.500
2 V 0.500 0.000 0.595
3 V 0.595 0.500 0.000
4 V 0.905 0.905 0.905
5 Ga 0.000 0.185 0.500
6 Ga 0.185 0.500 0.000
7 Ga 0.315 0.315 0.315
8 Ga 0.500 0.000 0.185
9 Tc 0.057 0.807 0.250
10 Tc 0.250 0.057 0.807
11 Tc 0.443 0.693 0.750
12 Tc 0.693 0.750 0.443
13 Tc 0.750 0.443 0.693
14 Tc 0.807 0.250 0.057


No. 4
## Al3C5 (GGA-PBE)

Data for a relaxed Al3C5 crystal.

ΔH_f (0 K): 0.581 eV/atom
Symmetry: No. 123
Calculated density: 2.954 g/cm³
Density of states at the Fermi level: 2.25 states/eV/f.u.
Crystal system: tetragonal
Offset from the most stable computed form: 0.0000 eV per atom

a = 2.921 Å, b = 2.921 Å, c = 9.288 Å
α = 90.00°, β = 90.00°, γ = 90.00°
Fractional positions:
1 Al 0.000 0.000 0.000
2 Al 0.500 0.500 0.291
3 Al 0.500 0.500 0.709
4 C 0.000 0.000 0.355
5 C 0.000 0.000 0.500
6 C 0.000 0.000 0.645
7 C 0.500 0.500 0.078
8 C 0.500 0.500 0.922


No. 5
## CdSiAg2 (GGA-PBE)

Data for a relaxed CdSiAg2 crystal.

Symmetry: No. 35
Calculated density: 8.023 g/cm³
Density of states at the Fermi level: 1.43 states/eV/f.u.
Crystal system: orthorhombic
Offset from the most stable computed form: 0.0968 eV per atom

a = 3.960 Å, b = 4.294 Å, c = 8.672 Å
α = 90.00°, β = 90.00°, γ = 90.00°
Fractional positions:
1 Cd 0.000 0.000 0.000
2 Cd 0.500 0.500 0.000
3 Si 0.000 0.500 0.270
4 Si 0.500 0.000 0.270
5 Ag 0.000 0.000 0.495
6 Ag 0.000 0.500 0.744
7 Ag 0.500 0.000 0.744
8 Ag 0.500 0.500 0.495


No. 6
## Ta2TlGa2 (GGA-PBE)

Data for a relaxed Ta2TlGa2 crystal.

ΔH_f (0 K): 0.190 eV/atom
Symmetry: No. 127
Calculated density: 12.169 g/cm³
Density of states at the Fermi level: 2.63 states/eV/f.u.
Crystal system: tetragonal
Offset from the most stable computed form: 0.0000 eV per atom

a = 7.932 Å, b = 7.932 Å, c = 3.061 Å
α = 90.00°, β = 90.00°, γ = 90.00°
Fractional positions:
1 Ta 0.122 0.378 0.000
2 Ta 0.378 0.878 0.000
3 Ta 0.622 0.122 0.000
4 Ta 0.878 0.622 0.000
5 Tl 0.000 0.000 0.000
6 Tl 0.500 0.500 0.000
7 Ga 0.173 0.673 0.500
8 Ga 0.327 0.173 0.500
9 Ga 0.673 0.827 0.500
10 Ga 0.827 0.327 0.500